A relaxed structure of ThFeHg. Source: Alexandria via LeMat-Bulk, functional PBE.

abc: 8.7390 8.7390 3.9583
angles: 90.00 90.00 153.57
With the nearest neighbours (Å) after each atom.
Fractional positions:
Th (0.0938, 0.9062, 0.7500)  6 Fe 2.98-2.99
Th (0.9062, 0.0938, 0.2500)  6 Fe 2.98-2.99
Fe (0.4634, 0.5366, 0.7500)  2 Fe 2.34
Fe (0.5366, 0.4634, 0.2500)  2 Fe 2.34
Hg (0.2956, 0.7044, 0.7500)  1 Fe 2.86
Hg (0.7044, 0.2956, 0.2500)  1 Fe 2.86

## Properties
- Electronic total energy: -5.5875 eV/atom
- Space group: No. 63